[1]
Compound: Ca2Pr5Y6
Source: Alexandria via LeMat-Bulk
Functional: PBE
Structure: optimized geometry

DFT formation energy (kJ per mole of atoms): 11.7
Calculated total energy (eV/atom): -5.01
Spin magnetization (μB per formula unit): 0.0
Crystal system: orthorhombic

The structure in CIF format:
```
data_Ca2Pr5Y6
_cell_length_a 12.251
_cell_length_b 20.790
_cell_length_c 3.609
_cell_angle_alpha 90.00
_cell_angle_beta 90.00
_cell_angle_gamma 90.00
_symmetry_space_group_name_H-M 'P b a m'
_symmetry_Int_Tables_number 55
_symmetry_space_group_name_Hall '-P 2 2ab'
loop_
_atom_site_label
_atom_site_type_symbol
_atom_site_fract_x
_atom_site_fract_y
_atom_site_fract_z
Ca1 Ca 0.154 0.217 0.000
Pr1 Pr 0.000 0.500 0.500
Pr2 Pr 0.109 0.784 0.500
Pr3 Pr 0.205 0.051 0.500
Y1 Y 0.057 0.925 0.000
Y2 Y 0.072 0.640 0.000
Y3 Y 0.182 0.382 0.500
```

=====

[2]
Compound: NaHoCd2O4
Source: Alexandria via LeMat-Bulk
Functional: PBE
Structure: optimized geometry

Uncorrected formation energy (meV/atom): -1902
Calculated total energy (eV/atom): -5.35
Spin magnetization (μB per formula unit): 0.0
Crystal system: tetragonal

The structure in CIF format:
```
data_NaHoCd2O4
_cell_length_a 4.705
_cell_length_b 4.705
_cell_length_c 9.771
_cell_angle_alpha 90.00
_cell_angle_beta 90.00
_cell_angle_gamma 90.00
_symmetry_space_group_name_H-M 'I 4/m m m'
_symmetry_Int_Tables_number 139
_symmetry_space_group_name_Hall '-I 4 2'
loop_
_atom_site_label
_atom_site_type_symbol
_atom_site_fract_x
_atom_site_fract_y
_atom_site_fract_z
Na1 Na 0.000 0.000 0.000
Ho1 Ho 0.000 0.000 0.500
Cd1 Cd 0.000 0.500 0.250
O1 O 0.000 0.000 0.268
O2 O 0.000 0.500 0.000
```

=====

[3]
Compound: FeReIr
Source: Alexandria via LeMat-Bulk
Functional: PBE
Structure: optimized geometry

DFT formation energy (kJ per mole of atoms): 3.7
Calculated total energy (eV/atom): -9.89
Spin magnetization (μB per formula unit): 1.9
Relative energy among the computed polymorphs (meV per atom): 112
Crystal system: orthorhombic

The structure in CIF format:
```
data_FeReIr
_cell_length_a 4.296
_cell_length_b 5.267
_cell_length_c 7.275
_cell_angle_alpha 90.00
_cell_angle_beta 90.00
_cell_angle_gamma 90.00
_symmetry_space_group_name_H-M 'I m m a'
_symmetry_Int_Tables_number 74
_symmetry_space_group_name_Hall '-I 2b 2'
loop_
_atom_site_label
_atom_site_type_symbol
_atom_site_fract_x
_atom_site_fract_y
_atom_site_fract_z
Fe1 Fe 0.000 0.250 0.177
Re1 Re 0.000 0.000 0.500
Ir1 Ir 0.000 0.250 0.843
```

=====

[4]
Compound: Ac2LaMgHg6
Source: Alexandria via LeMat-Bulk
Functional: PBE
Structure: optimized geometry

DFT formation energy (kJ per mole of atoms): -41.3
Calculated total energy (eV/atom): -2.08
Spin magnetization (μB per formula unit): 0.0
Crystal system: triclinic

The structure in CIF format:
```
data_Ac2LaMgHg6
_cell_length_a 5.080
_cell_length_b 6.201
_cell_length_c 9.893
_cell_angle_alpha 91.52
_cell_angle_beta 90.52
_cell_angle_gamma 113.92
_symmetry_space_group_name_H-M 'P -1'
_symmetry_Int_Tables_number 2
_symmetry_space_group_name_Hall '-P 1'
loop_
_atom_site_label
_atom_site_type_symbol
_atom_site_fract_x
_atom_site_fract_y
_atom_site_fract_z
Ac1 Ac 0.205 0.409 0.189
La1 La 0.000 0.000 0.500
Mg1 Mg 0.500 0.000 0.000
Hg1 Hg 0.107 0.211 0.865
Hg2 Hg 0.303 0.607 0.534
Hg3 Hg 0.489 0.981 0.286
```

=====

[5]
Compound: KBe2CdF
Source: Alexandria via LeMat-Bulk
Functional: PBE
Structure: optimized geometry

Uncorrected formation energy (meV/atom): 0
Calculated total energy (eV/atom): -2.27
Spin magnetization (μB per formula unit): 0.0
Crystal system: tetragonal

The structure in CIF format:
```
data_KBe2CdF
_cell_length_a 4.539
_cell_length_b 4.539
_cell_length_c 5.621
_cell_angle_alpha 90.00
_cell_angle_beta 90.00
_cell_angle_gamma 90.00
_symmetry_space_group_name_H-M 'P 4/m m m'
_symmetry_Int_Tables_number 123
_symmetry_space_group_name_Hall '-P 4 2'
loop_
_atom_site_label
_atom_site_type_symbol
_atom_site_fract_x
_atom_site_fract_y
_atom_site_fract_z
K1 K 0.000 0.000 0.000
Be1 Be 0.000 0.500 0.500
Cd1 Cd 0.500 0.500 0.500
F1 F 0.500 0.500 0.000
```

=====

[6]
Compound: DyB2S6
Source: Alexandria via LeMat-Bulk
Functional: PBE
Structure: optimized geometry

Uncorrected formation energy (meV/atom): -559
Calculated total energy (eV/atom): -5.31
Spin magnetization (μB per formula unit): 0.0
Crystal system: monoclinic

The structure in CIF format:
```
data_DyB2S6
_cell_length_a 13.555
_cell_length_b 9.327
_cell_length_c 6.148
_cell_angle_alpha 90.00
_cell_angle_beta 97.12
_cell_angle_gamma 90.00
_symmetry_space_group_name_H-M 'C 1 2/c 1'
_symmetry_Int_Tables_number 15
_symmetry_space_group_name_Hall '-C 2yc'
loop_
_atom_site_label
_atom_site_type_symbol
_atom_site_fract_x
_atom_site_fract_y
_atom_site_fract_z
Dy1 Dy 0.000 0.140 0.250
B1 B 0.236 0.078 0.654
S1 S 0.100 0.100 0.653
S2 S 0.191 0.264 0.213
S3 S 0.209 0.433 0.644
```

=====

[7]
Compound: HfTi3Hg
Source: Alexandria via LeMat-Bulk
Functional: PBE
Structure: optimized geometry

DFT formation energy (kJ per mole of atoms): 109.1
Calculated total energy (eV/atom): -5.66
Spin magnetization (μB per formula unit): 1.4
Relative energy among the computed polymorphs (meV per atom): 0
Crystal system: cubic

The structure in CIF format:
```
data_HfTi3Hg
_cell_length_a 4.862
_cell_length_b 4.862
_cell_length_c 4.862
_cell_angle_alpha 90.00
_cell_angle_beta 90.00
_cell_angle_gamma 90.00
_symmetry_space_group_name_H-M 'P m -3 m'
_symmetry_Int_Tables_number 221
_symmetry_space_group_name_Hall '-P 4 2 3'
loop_
_atom_site_label
_atom_site_type_symbol
_atom_site_fract_x
_atom_site_fract_y
_atom_site_fract_z
Hf1 Hf 0.000 0.000 0.000
Ti1 Ti 0.000 0.000 0.500
Hg1 Hg 0.500 0.500 0.500
```

=====

[8]
Compound: CuPd3
Source: Alexandria via LeMat-Bulk
Functional: PBE
Structure: optimized geometry

DFT formation energy (kJ per mole of atoms): -5.4
Calculated total energy (eV/atom): -4.97
Spin magnetization (μB per formula unit): 0.0
Crystal system: tetragonal

The structure in CIF format:
```
data_CuPd3
_cell_length_a 3.860
_cell_length_b 3.860
_cell_length_c 7.876
_cell_angle_alpha 90.00
_cell_angle_beta 90.00
_cell_angle_gamma 90.00
_symmetry_space_group_name_H-M 'I 4/m m m'
_symmetry_Int_Tables_number 139
_symmetry_space_group_name_Hall '-I 4 2'
loop_
_atom_site_label
_atom_site_type_symbol
_atom_site_fract_x
_atom_site_fract_y
_atom_site_fract_z
Cu1 Cu 0.000 0.000 0.000
Pd1 Pd 0.000 0.000 0.500
Pd2 Pd 0.000 0.500 0.250
```

=====

[9]
Compound: PuThTe6
Source: Alexandria via LeMat-Bulk
Functional: PBE
Structure: optimized geometry

Uncorrected formation energy (meV/atom): -841
Calculated total energy (eV/atom): -5.92
Spin magnetization (μB per formula unit): 5.1
Crystal system: orthorhombic

The structure in CIF format:
```
data_PuThTe6
_cell_length_a 4.432
_cell_length_b 4.431
_cell_length_c 26.401
_cell_angle_alpha 90.00
_cell_angle_beta 90.00
_cell_angle_gamma 90.00
_symmetry_space_group_name_H-M 'A m m 2'
_symmetry_Int_Tables_number 38
_symmetry_space_group_name_Hall 'A 2 -2'
loop_
_atom_site_label
_atom_site_type_symbol
_atom_site_fract_x
_atom_site_fract_y
_atom_site_fract_z
Pu1 Pu 0.000 0.000 0.000
Th1 Th 0.500 0.000 0.661
Te1 Te 0.000 0.000 0.125
Te2 Te 0.000 0.000 0.410
Te3 Te 0.000 0.000 0.753
Te4 Te 0.500 0.000 0.253
Te5 Te 0.500 0.000 0.537
Te6 Te 0.500 0.000 0.910
```

=====

[10]
Compound: TbNdLuZr
Source: Alexandria via LeMat-Bulk
Functional: PBE
Structure: optimized geometry

DFT formation energy (kJ per mole of atoms): 21.1
Calculated total energy (eV/atom): -5.40
Spin magnetization (μB per formula unit): 1.3
Crystal system: cubic

The structure in CIF format:
```
data_TbNdLuZr
_cell_length_a 7.781
_cell_length_b 7.781
_cell_length_c 7.781
_cell_angle_alpha 90.00
_cell_angle_beta 90.00
_cell_angle_gamma 90.00
_symmetry_space_group_name_H-M 'F -4 3 m'
_symmetry_Int_Tables_number 216
_symmetry_space_group_name_Hall 'F -4 2 3'
loop_
_atom_site_label
_atom_site_type_symbol
_atom_site_fract_x
_atom_site_fract_y
_atom_site_fract_z
Tb1 Tb 0.000 0.000 0.000
Nd1 Nd 0.250 0.250 0.750
Lu1 Lu 0.000 0.000 0.500
Zr1 Zr 0.250 0.250 0.250
```